# SmHo4Tm2Sc, relaxed, DFT PBE
data_SmHo4Tm2Sc
_cell_length_a 13.3512
_cell_length_b 13.0751
_cell_length_c 6.6869
_cell_angle_alpha 90.00
_cell_angle_beta 120.05
_cell_angle_gamma 90.00
_symmetry_space_group_name_H-M 'C 1 2/c 1'
_symmetry_Int_Tables_number 15
_symmetry_space_group_name_Hall '-C 2yc'
loop_
_atom_site_label
_atom_site_type_symbol
_atom_site_fract_x
_atom_site_fract_y
_atom_site_fract_z
Sm1 Sm 0.0000 0.0000 0.0000
Ho1 Ho 0.9997 0.2528 0.0055
Ho2 Ho 0.2479 0.4930 0.4962
Tm1 Tm 0.0000 0.5000 0.0000
Tm2 Tm 0.2500 0.2500 0.0000
Sc1 Sc 0.2500 0.2500 0.5000
# Magnetic moment ... 12.0 μB per cell
# Calculated total energy ... -4.34 eV per atom
# E_form ... 0.452 eV/atom